Density functional theory data (PBE-GGA) for crystalline K3Re2HgO8 at its relaxed geometry.

## Properties
* calculated volume: 23.60 Å³ per atom
* energy: -0.477 Ry/atom
* mass density: 4.1 Mg/m³
* formation energy without anion corrections: -1.620 eV per atom
* magnetic moment: 1.04 μB/f.u.

Lattice parameters (Å, degrees): 6.1343 6.1343 10.1379 90.00 90.00 120.00
Space group P-3m1 (No. 164)
Inequivalent atoms, fractional coordinates:
K 0.0000 0.0000 0.0000
K 0.3333 0.6667 0.7228
Re 0.3333 0.6667 0.1540
Hg 0.0000 0.0000 0.5000
O 0.1764 0.3529 0.2150
O 0.3333 0.6667 0.9784